[1]
# SrPmMg

An optimized crystal structure of SrPmMg (PBE, the Alexandria database).

As for the energy of formation from the pure elements: 0.07 eV/atom. Its energy above the lowest structure with this stoichiometry is 0.92 kcal/mol of atoms.

The space group is P4/nmm (No. 129, origin choice 2) and the conventional cell measures 5.0917, 5.0917 and 8.9139 Å, with angles of 90.00, 90.00 and 90.00 degrees. The asymmetric unit holds Sr at (0.2500, 0.2500, 0.1539), Pm at (0.2500, 0.7500, 0.5000) and Mg at (0.2500, 0.2500, 0.7434).

[2]
# SrPmMg2

An optimized crystal structure of SrPmMg2 (PBE, the Alexandria database).

As for the energy of formation from the pure elements: -0.06 eV/atom.

The space group is P4/mmm (No. 123) and the conventional cell measures 4.0368, 4.0368 and 7.9709 Å, with angles of 90.00, 90.00 and 90.00 degrees. The asymmetric unit holds Sr at (0.0000, 0.0000, 0.0000), Pm at (0.0000, 0.0000, 0.5000) and Mg at (0.5000, 0.5000, 0.2797).

[3]
# SrPm2Mg3

An optimized crystal structure of SrPm2Mg3 (PBE, the Alexandria database).

As for the energy of formation from the pure elements: -0.08 eV/atom.

The space group is P4/mmm (No. 123) and the conventional cell measures 3.9468, 3.9468 and 12.0610 Å, with angles of 90.00, 90.00 and 90.00 degrees. The asymmetric unit holds Sr at (0.0000, 0.0000, 0.0000), Pm at (0.0000, 0.0000, 0.3464), Mg at (0.5000, 0.5000, 0.1908) and Mg at (0.5000, 0.5000, 0.5000).

[4]
# SrPmMg

An optimized crystal structure of SrPmMg (PBE, the Alexandria database).

As for the energy of formation from the pure elements: 0.03 eV/atom. Its energy above the lowest structure with this stoichiometry is 0.00 kcal/mol of atoms.

The space group is I4mm (No. 107) and the conventional cell measures 3.9255, 3.9255 and 13.9959 Å, with angles of 90.00, 90.00 and 90.00 degrees. The asymmetric unit holds Sr at (0.0000, 0.0000, 0.0000), Pm at (0.0000, 0.0000, 0.2930) and Mg at (0.0000, 0.0000, 0.6631).

[5]
# SrPm2Mg9

An optimized crystal structure of SrPm2Mg9 (PBE, the Alexandria database).

As for the energy of formation from the pure elements: -0.07 eV/atom.

The space group is R-3m (No. 166, hexagonal axes) and the conventional cell measures 6.1652, 6.1652 and 30.1073 Å, with angles of 90.00, 90.00 and 120.00 degrees. The asymmetric unit holds Sr at (0.0000, 0.0000, 0.0000), Pm at (0.0000, 0.0000, 0.1477), Mg at (0.0000, 0.0000, 0.3343), Mg at (0.0000, 0.0000, 0.5000) and Mg at (0.0037, 0.5019, 0.9149).

[6]
# Sr3Pm3MgTe8

An optimized crystal structure of Sr3Pm3MgTe8 (PBE, the Alexandria database).

As for the formation energy without anion corrections: -1.446 eV/atom.

The space group is R-3m (No. 166, hexagonal axes) and the conventional cell measures 9.0304, 9.0304 and 22.9862 Å, with angles of 90.00, 90.00 and 120.00 degrees. The asymmetric unit holds Sr at (0.0000, 0.5000, 0.0000), Pm at (0.0000, 0.5000, 0.5000), Mg at (0.0000, 0.0000, 0.5000), Te at (0.0000, 0.0000, 0.2458) and Te at (0.0091, 0.5046, 0.2423).

[7]
# SrPm2MgTl4

An optimized crystal structure of SrPm2MgTl4 (PBE, the Alexandria database).

As for the energy of formation from the pure elements: -0.29 eV/atom.

The space group is R-3m (No. 166, hexagonal axes) and the conventional cell measures 5.3961, 5.3961 and 28.0838 Å, with angles of 90.00, 90.00 and 120.00 degrees. The asymmetric unit holds Sr at (0.0000, 0.0000, 0.0000), Pm at (0.0000, 0.0000, 0.2397), Mg at (0.0000, 0.0000, 0.5000), Tl at (0.0000, 0.0000, 0.1245) and Tl at (0.0000, 0.0000, 0.3808).

[8]
# SrPmMgTl

An optimized crystal structure of SrPmMgTl (PBE, the Alexandria database).

As for the energy of formation from the pure elements: -0.24 eV/atom. Its energy above the lowest structure with this stoichiometry is 0.00 kcal/mol of atoms.

The space group is P4mm (No. 99) and the conventional cell measures 3.9830, 3.9830 and 8.0777 Å, with angles of 90.00, 90.00 and 90.00 degrees. The asymmetric unit holds Sr at (0.0000, 0.0000, 0.0000), Pm at (0.0000, 0.0000, 0.4952), Mg at (0.5000, 0.5000, 0.7221) and Tl at (0.5000, 0.5000, 0.2695).